## w
## ScZn2S2 (PBE)

Data for an optimized crystal structure of ScZn2S2.

Properties
* V: 186 Å³/cell
* total magnetic moment: 0.1959 μB per atom
* space group: P4/mbm (127)
* DOS(E_F): 0.419 states/eV per atom

abc: 7.3541 7.3541 3.4473
angles: 90.00 90.00 90.00
Last column: nearest neighbours and their distance in Å.
Positions (direct):
Sc (0.0000, 0.0000, 0.0000)  4 Zn 2.98, 8 S 3.12
Sc (0.5000, 0.5000, 0.0000)  4 Zn 2.98, 8 S 3.12
Zn (0.1105, 0.3895, 0.0000)  1 Zn 2.30, 2 S 2.36
Zn (0.3895, 0.8895, 0.0000)  1 Zn 2.30, 2 S 2.36
Zn (0.6105, 0.1105, 0.0000)  1 Zn 2.30, 2 S 2.36
Zn (0.8895, 0.6105, 0.0000)  1 Zn 2.30, 2 S 2.36
S (0.2349, 0.7349, 0.5000)  2 Zn 2.36
S (0.2651, 0.2349, 0.5000)  2 Zn 2.36
S (0.7349, 0.7651, 0.5000)  2 Zn 2.36
S (0.7651, 0.2651, 0.5000)  2 Zn 2.36

***

## x
## ScZn2S2 (PBE)

Data for an optimized crystal structure of ScZn2S2.

Properties
* V: 90 Å³/cell
* total magnetic moment: 0.1210 μB per atom
* space group: I4/mmm (139)
* DOS(E_F): 0.612 states/eV per atom

abc: 5.2252 5.2252 5.2252
angles: 126.33 126.33 79.35
Last column: nearest neighbours and their distance in Å.
Positions (direct):
Sc (0.0000, 0.0000, 0.0000)  2 Zn 2.85, 8 S 3.10
Zn (0.3543, 0.3543, 0.0000)  1 Zn 2.34, 4 S 2.50
Zn (0.6457, 0.6457, 0.0000)  1 Zn 2.34, 4 S 2.50
S (0.2500, 0.7500, 0.5000)  4 Zn 2.50
S (0.7500, 0.2500, 0.5000)  4 Zn 2.50

***

Energetically preferred structure: x | next structure: +0.090 eV/atom

***

## w
## Zr2Sc2S (PBE)

Data for an optimized crystal structure of Zr2Sc2S.

Properties
* V: 120 Å³/cell
* total magnetic moment: 0.2534 μB per atom
* space group: I4/mmm (139)
* DOS(E_F): 0.999 states/eV per atom

abc: 9.0658 9.0658 9.0658
angles: 156.30 156.30 33.77
Last column: nearest neighbours and their distance in Å.
Positions (direct):
Zr (0.2500, 0.7500, 0.5000)  4 Zr 2.63
Zr (0.7500, 0.2500, 0.5000)  4 Zr 2.63
Sc (0.0900, 0.0900, 0.0000)  4 S 3.06, 1 Sc 3.12, 4 Zr 3.34
Sc (0.9100, 0.9100, 0.0000)  4 S 3.06, 1 Sc 3.12, 4 Zr 3.34
S (0.5000, 0.5000, 0.0000)  8 Sc 3.06

***

## x
## Zr2Sc2S (PBE)

Data for an optimized crystal structure of Zr2Sc2S.

Properties
* V: 226 Å³/cell
* total magnetic moment: 0.0000 μB per atom
* space group: P4/mbm (127)
* DOS(E_F): 0.738 states/eV per atom

abc: 6.5608 6.5608 5.2516
angles: 90.00 90.00 90.00
Last column: nearest neighbours and their distance in Å.
Positions (direct):
Zr (0.1452, 0.3548, 0.0000)  1 Zr 2.70
Zr (0.3548, 0.8548, 0.0000)  1 Zr 2.70
Zr (0.6452, 0.1452, 0.0000)  1 Zr 2.70
Zr (0.8548, 0.6452, 0.0000)  1 Zr 2.70
Sc (0.1579, 0.6579, 0.5000)  2 S 2.47
Sc (0.3421, 0.1579, 0.5000)  2 S 2.47
Sc (0.6579, 0.8421, 0.5000)  2 S 2.47
Sc (0.8421, 0.3421, 0.5000)  2 S 2.47
S (0.0000, 0.0000, 0.5000)  4 Sc 2.47
S (0.5000, 0.5000, 0.5000)  4 Sc 2.47

***

Energetically preferred structure: x | next structure: +0.353 eV/atom

***

## w
## ZrSc3S (PBE)

Data for an optimized crystal structure of ZrSc3S.

Properties
* V: 115 Å³/cell
* total magnetic moment: 0.0000 μB per atom
* space group: Pm-3m (221)
* DOS(E_F): 1.848 states/eV per atom

abc: 4.8687 4.8687 4.8687
angles: 90.00 90.00 90.00
Last column: nearest neighbours and their distance in Å.
Positions (direct):
Zr (0.0000, 0.0000, 0.0000)  12 Sc 3.44
Sc (0.0000, 0.5000, 0.5000)  2 S 2.43
Sc (0.5000, 0.0000, 0.5000)  2 S 2.43
Sc (0.5000, 0.5000, 0.0000)  2 S 2.43
S (0.5000, 0.5000, 0.5000)  6 Sc 2.43

***

## x
## ZrSc3S (PBE)

Data for an optimized crystal structure of ZrSc3S.

Properties
* V: 137 Å³/cell
* total magnetic moment: 0.0000 μB per atom
* space group: Pm-3m (221)
* DOS(E_F): 0.585 states/eV per atom

abc: 5.1551 5.1551 5.1551
angles: 90.00 90.00 90.00
Last column: nearest neighbours and their distance in Å.
Positions (direct):
Zr (0.0000, 0.0000, 0.0000)  6 Sc 2.58
Sc (0.0000, 0.0000, 0.5000)  2 Zr 2.58
Sc (0.0000, 0.5000, 0.0000)  2 Zr 2.58
Sc (0.5000, 0.0000, 0.0000)  2 Zr 2.58
S (0.5000, 0.5000, 0.5000)  12 Sc 3.65

***

Energetically preferred structure: w | next structure: +1.283 eV/atom

***

## w
## ZrScS (PBE)

Data for an optimized crystal structure of ZrScS.

Properties
* V: 61 Å³/cell
* total magnetic moment: 0.1992 μB per atom
* space group: P3m1 (156)
* DOS(E_F): 0.913 states/eV per atom

abc: 3.5112 3.5112 5.7483
angles: 90.00 90.00 120.00
Last column: nearest neighbours and their distance in Å.
Positions (direct):
Zr (0.0000, 0.0000, 0.0000)  3 S 2.59
Sc (0.3333, 0.6667, 0.5580)  3 S 2.58
S (0.6667, 0.3333, 0.2810)  3 Sc 2.58, 3 Zr 2.59

***

## x
## ZrScS (PBE)

Data for an optimized crystal structure of ZrScS.

Properties
* V: 121 Å³/cell
* total magnetic moment: 0.0000 μB per atom
* space group: P4/nmm (129)
* DOS(E_F): 0.858 states/eV per atom

abc: 3.7233 3.7233 8.7183
angles: 90.00 90.00 90.00
Last column: nearest neighbours and their distance in Å.
Positions (direct):
Zr (0.2500, 0.2500, 0.0723)  1 S 2.60
Zr (0.7500, 0.7500, 0.9277)  1 S 2.60
Sc (0.2500, 0.2500, 0.6721)  5 S 2.63-2.66
Sc (0.7500, 0.7500, 0.3279)  5 S 2.63-2.66
S (0.2500, 0.2500, 0.3705)  1 Zr 2.60, 5 Sc 2.63-2.66
S (0.7500, 0.7500, 0.6295)  1 Zr 2.60, 5 Sc 2.63-2.66

***

## y
## ZrScS (PBE)

Data for an optimized crystal structure of ZrScS.

Properties
* V: 62 Å³/cell
* total magnetic moment: 0.0006 μB per atom
* space group: R3m (160)
* DOS(E_F): 1.050 states/eV per atom

abc: 5.9674 5.9674 5.9674
angles: 34.77 34.77 34.77
Last column: nearest neighbours and their distance in Å.
Positions (direct):
Zr (0.0000, 0.0000, 0.0000)  3 S 2.54
Sc (0.5083, 0.5083, 0.5083)  3 S 2.52
S (0.7556, 0.7556, 0.7556)  3 Sc 2.52, 3 Zr 2.54

***

Energetically preferred structure: x | next structure: +0.037 eV/atom

***

## w
## SeS2 (PBE)

Data for an optimized crystal structure of SeS2.

Properties
* V: 212 Å³/cell
* total magnetic moment: 0.0000 μB per atom
* space group: P1 (1)
* DOS(E_F): 0.000 states/eV per atom

abc: 5.2470 6.6321 6.7029
angles: 79.64 88.19 67.35
Last column: nearest neighbours and their distance in Å.
Positions (direct):
Se (0.0000, 0.0000, 0.0000)  1 S 2.24, 1 Se 2.35
Se (0.0008, 0.0003, 0.3513)  1 S 2.24, 1 Se 2.35
S (0.1286, 0.2784, 0.3870)  1 S 2.06, 1 Se 2.24
S (0.6095, 0.2814, 0.8707)  1 S 2.05, 1 Se 2.24
S (0.7320, 0.5329, 0.7411)  2 S 2.05-2.08
S (0.7645, 0.5316, 0.4316)  2 S 2.06-2.08

***

## x
## SeS2 (PBE)

Data for an optimized crystal structure of SeS2.

Properties
* V: 206 Å³/cell
* total magnetic moment: 0.0000 μB per atom
* space group: P1 (1)

abc: 5.6785 6.3409 6.6157
angles: 105.27 108.86 101.90
Last column: nearest neighbours and their distance in Å.
Positions (direct):
Se (0.0000, 0.0000, 0.0000)  2 S 2.22-2.38
Se (0.2867, 0.5677, 0.0840)  2 S 2.19-2.39
S (0.0378, 0.7567, 0.1877)  2 Se 2.19-2.22
S (0.6481, 0.4231, 0.7080)  2 S 2.02-2.04
S (0.7014, 0.7171, 0.6385)  1 S 2.02
S (0.9636, 0.3131, 0.7170)  1 S 2.04

***

## y
## SeS2 (PBE)

Data for an optimized crystal structure of SeS2.

Properties
* V: 219 Å³/cell
* total magnetic moment: 0.0000 μB per atom
* space group: P1 (1)
* DOS(E_F): 0.000 states/eV per atom

abc: 5.7054 6.4200 7.1792
angles: 109.51 102.72 108.18
Last column: nearest neighbours and their distance in Å.
Positions (direct):
Se (0.0000, 0.0000, 0.0000)  1 Se 2.25
Se (0.1326, 0.8464, 0.2219)  1 Se 2.25, 1 S 2.30
S (0.1145, 0.7235, 0.7070)  1 S 1.92
S (0.1379, 0.4803, 0.7987)  1 S 1.92
S (0.7322, 0.6418, 0.4748)  2 S 2.02-2.22
S (0.7925, 0.5188, 0.1999)  1 S 2.02

***

## z
## SeS2 (PBE)

Data for an optimized crystal structure of SeS2.

Properties
* V: 97 Å³/cell
* total magnetic moment: 0.0000 μB per atom
* space group: C2 (5)
* DOS(E_F): 0.000 states/eV per atom

abc: 5.0830 5.0830 4.6193
angles: 90.66 90.66 54.34
Last column: nearest neighbours and their distance in Å.
Positions (direct):
Se (0.0000, 0.0000, 0.0000)  2 S 2.24
S (0.6171, 0.2200, 0.6535)  1 S 2.06, 1 Se 2.24
S (0.7800, 0.3829, 0.3465)  1 S 2.06, 1 Se 2.24

***

Energetically preferred structure: w | next structure: +0.018 eV/atom